A PBEsol-optimized structure of Be5Mo. Source: Alexandria via LeMat-Bulk, functional SCAN.

The calculation puts the energy of formation at -0.113 eV/atom. The calculation puts the magnetic moment at 0.1 μB per formula unit.

Lattice parameters (Å, degrees): 4.2823 4.2823 3.3495 90.00 90.00 120.00
Element x y z (fractional)
Be: 0.0000 0.5000 0.0000
Be: 0.3333 0.6667 0.5000
Be: 0.5000 0.0000 0.0000
Be: 0.5000 0.5000 0.0000
Be: 0.6667 0.3333 0.5000
Mo: 0.0000 0.0000 0.5000